Entry 1:
An optimized crystal structure of BaSr2Ca4, computed with PBE-GGA.

```
BaSr2Ca4
1.0
-2.335 4.006 -5.032
-4.204 -5.186 -2.178
-3.326 5.098 5.601
Ba Sr Ca
1 2 4
Cartesian
-2.102 -2.593 -1.089
-2.466 2.602 -1.437
-7.399 1.316 -0.172
-4.773 0.104 -2.355
-5.165 -1.179 1.458
-5.091 3.814 0.746
-2.364 1.091 1.966
```

Computed properties:
Size of the total moment = 0.00 Bohr magnetons per cell

Entry 2:
An optimized crystal structure of Ba3Sr5Ca3, computed with PBE-GGA.

```
Ba3Sr5Ca3
1.0
4.028 0.000 0.000
0.000 13.408 0.000
0.000 -6.704 11.612
Ba Sr Ca
3 5 3
Cartesian
2.014 4.446 7.700
2.014 -2.258 3.912
2.014 4.517 0.000
2.014 0.000 7.741
2.014 6.704 3.871
2.014 1.113 1.928
2.014 -5.591 9.684
2.014 11.182 0.000
0.000 2.738 4.743
0.000 7.932 0.000
0.000 -3.966 6.869
```

Computed properties:
Size of the total moment = 0.00 Bohr magnetons per cell

Entry 3:
An optimized crystal structure of Ba7SrCa3, computed with PBE-GGA.

```
Ba7SrCa3
1.0
10.289 0.000 0.000
0.000 8.618 0.000
0.000 -4.309 7.464
Ba Sr Ca
7 1 3
Cartesian
1.048 -2.155 6.220
1.048 0.000 2.487
1.125 4.309 2.488
4.794 6.475 1.237
4.794 2.143 1.237
4.794 4.309 4.989
1.048 2.155 6.220
4.703 0.000 4.976
8.043 2.134 3.744
8.043 0.000 7.440
8.043 -2.134 3.744
```

Computed properties:
Size of the total moment = 0.00 Bohr magnetons per cell

Entry 4:
An optimized crystal structure of BaSr2Ca7, computed with PBE-GGA.

```
BaSr2Ca7
1.0
-3.093 0.766 2.524
-1.989 -9.333 0.395
9.110 3.374 10.138
Ba Sr Ca
1 2 7
Cartesian
0.000 0.000 0.000
1.402 -4.911 6.480
2.627 -0.282 6.577
0.902 -4.969 2.613
6.219 -0.990 7.920
3.957 -3.503 9.183
0.072 -1.690 3.874
-1.169 -7.512 4.120
5.197 2.319 8.937
-2.541 -4.284 1.460
```

Computed properties:
Size of the total moment = 0.00 Bohr magnetons per cell

Entry 5:
An optimized crystal structure of Ba5Sr2Ca2, computed with PBE-GGA.

```
Ba5Sr2Ca2
1.0
-5.494 3.057 -2.592
-6.011 -3.184 0.066
-8.498 1.806 11.224
Ba Sr Ca
5 2 2
Cartesian
-4.418 1.103 1.745
-15.586 0.575 6.953
-12.359 1.562 1.278
-7.644 0.117 7.421
0.000 0.000 0.000
-12.038 1.186 9.076
-7.965 0.492 -0.377
-11.221 -0.454 5.409
-8.782 2.133 3.290
```

Computed properties:
Size of the total moment = 0.00 Bohr magnetons per cell

Entry 6:
An optimized crystal structure of Ba12Sr2Ca, computed with PBE-GGA.

```
Ba12Sr2Ca
1.0
7.918 0.000 0.000
0.000 7.918 0.000
0.000 0.000 31.307
Ba Sr Ca
24 4 2
Cartesian
3.959 3.959 24.817
0.000 0.000 24.817
5.943 5.934 28.251
1.984 5.943 28.251
0.000 0.000 10.555
1.975 5.934 3.056
6.493 2.534 17.542
3.959 3.959 10.555
1.975 1.984 28.251
5.934 5.943 3.056
2.534 1.424 17.542
5.383 1.424 13.765
0.000 0.000 20.752
1.424 2.534 13.765
1.984 1.975 3.056
6.493 5.383 13.765
5.383 6.493 17.542
0.000 0.000 6.490
1.424 5.383 17.542
3.959 3.959 20.752
5.934 1.975 28.251
3.959 3.959 6.490
2.534 6.493 13.765
5.943 1.984 3.056
3.959 0.000 8.662
0.000 3.959 8.662
0.000 3.959 22.645
3.959 0.000 22.645
3.959 0.000 0.000
0.000 3.959 0.000
```

Computed properties:
Size of the total moment = 4.05 Bohr magnetons per cell

DFT total energy values, unit eV per atom, following the record order: -1.603; -1.590; -1.782; -1.704; -1.866; -1.654.